{
  "formula": "Pm2PrDy2",
  "functional": "PBE-GGA",
  "state": "relaxed",
  "lattice": [[3.5635, 0.0000, 0.0000], [0.0000, 5.7298, 0.0000], [0.0000, 0.0000, 16.5099]],
  "species": ["Pm", "Pm", "Pm", "Pm", "Pr", "Pr", "Dy", "Dy", "Dy", "Dy"],
  "frac_coords": [[0.0000, 0.0000, 0.2130], [0.0000, 0.0000, 0.7870], [0.5000, 0.5000, 0.2870], [0.5000, 0.5000, 0.7130], [0.0000, 0.5000, 0.5000], [0.5000, 0.0000, 0.0000], [0.0000, 0.5000, 0.0989], [0.0000, 0.5000, 0.9011], [0.5000, 0.0000, 0.4011], [0.5000, 0.0000, 0.5989]],
  "vol_a3_per_atom": 33.71,
  "total_energy_ev_per_atom": -4.651,
  "e_form_mev_per_atom": 46,
  "dos_at_fermi_per_ev_fu": 7.2,
  "total_magnetization_mub_per_fu": 0.00
}